[1]
Material: TmCoB4
Method: DFT, PBE-GGA
State: relaxed

Values from the calculation:
The formation energy from the elements comes out at -362 kJ/mol of formula units. Its space-group type is Pbam. The crystal system is orthorhombic. For the total DFT energy (no corrections), the calculation gives -7.006 eV/atom.

Unit cell a=5.8574 b=11.3386 c=3.3430 alpha=90.00 beta=90.00 gamma=90.00
Atoms (fractional coordinates):
Tm (0.1286, 0.1499, 0.0000)
Tm (0.3714, 0.6499, 0.0000)
Tm (0.6286, 0.3501, 0.0000)
Tm (0.8714, 0.8501, 0.0000)
Co (0.1352, 0.4102, 0.0000)
Co (0.3648, 0.9102, 0.0000)
Co (0.6352, 0.0898, 0.0000)
Co (0.8648, 0.5898, 0.0000)
B (0.0223, 0.6917, 0.5000)
B (0.1116, 0.5465, 0.5000)
B (0.1378, 0.9678, 0.5000)
B (0.2157, 0.8150, 0.5000)
B (0.2843, 0.3150, 0.5000)
B (0.3622, 0.4678, 0.5000)
B (0.3884, 0.0465, 0.5000)
B (0.4777, 0.1917, 0.5000)
B (0.5223, 0.8083, 0.5000)
B (0.6116, 0.9535, 0.5000)
B (0.6378, 0.5322, 0.5000)
B (0.7157, 0.6850, 0.5000)
B (0.7843, 0.1850, 0.5000)
B (0.8622, 0.0322, 0.5000)
B (0.8884, 0.4535, 0.5000)
B (0.9777, 0.3083, 0.5000)

=====

[2]
Material: AlTePO2
Method: DFT, PBE-GGA
State: relaxed

Values from the calculation:
Its space-group type is P4/mmm. The crystal system is tetragonal. For the total DFT energy (no corrections), the calculation gives -5.212 eV/atom. Its uncorrected formation energy is -0.769 eV per atom. The calculation puts the offset from the most stable computed form at 0.00 eV per formula unit.

Unit cell a=3.6310 b=3.6310 c=6.6406 alpha=90.00 beta=90.00 gamma=90.00
Atoms (fractional coordinates):
Al (0.0000, 0.0000, 0.0000)
Te (0.5000, 0.5000, 0.5000)
P (0.0000, 0.0000, 0.5000)
O (0.0000, 0.5000, 0.0000)
O (0.5000, 0.0000, 0.0000)

=====

[3]
Material: Cs2AlAu
Method: DFT, PBE-GGA
State: relaxed

Values from the calculation:
The formation energy from the elements comes out at 122 kJ/mol of formula units. Its space-group type is Fm-3m. The crystal system is cubic. For the total DFT energy (no corrections), the calculation gives -1.865 eV/atom. The calculation puts the offset from the most stable computed form at 1.49 eV per formula unit.

Unit cell a=8.8159 b=8.8159 c=8.8159 alpha=90.00 beta=90.00 gamma=90.00
Atoms (fractional coordinates):
Cs (0.2500, 0.2500, 0.2500)
Cs (0.2500, 0.2500, 0.7500)
Cs (0.2500, 0.7500, 0.2500)
Cs (0.2500, 0.7500, 0.7500)
Cs (0.7500, 0.2500, 0.2500)
Cs (0.7500, 0.2500, 0.7500)
Cs (0.7500, 0.7500, 0.2500)
Cs (0.7500, 0.7500, 0.7500)
Al (0.0000, 0.0000, 0.0000)
Al (0.0000, 0.5000, 0.5000)
Al (0.5000, 0.0000, 0.5000)
Al (0.5000, 0.5000, 0.0000)
Au (0.0000, 0.0000, 0.5000)
Au (0.0000, 0.5000, 0.0000)
Au (0.5000, 0.0000, 0.0000)
Au (0.5000, 0.5000, 0.5000)

=====

[4]
Material: Sr3AuS
Method: DFT, PBE-GGA
State: relaxed

Values from the calculation:
Its space-group type is Pm-3m. The crystal system is cubic. For the total DFT energy (no corrections), the calculation gives -3.311 eV/atom. Its uncorrected formation energy is -0.821 eV per atom. The calculation puts the offset from the most stable computed form at 0.00 eV per formula unit.

Unit cell a=5.6815 b=5.6815 c=5.6815 alpha=90.00 beta=90.00 gamma=90.00
Atoms (fractional coordinates):
Sr (0.0000, 0.0000, 0.5000)
Sr (0.0000, 0.5000, 0.0000)
Sr (0.5000, 0.0000, 0.0000)
Au (0.5000, 0.5000, 0.5000)
S (0.0000, 0.0000, 0.0000)

=====

[5]
Material: Zr2SnS
Method: DFT, PBE-GGA
State: relaxed

Values from the calculation:
Its space-group type is Fm-3m. The crystal system is cubic. For the total DFT energy (no corrections), the calculation gives -6.839 eV/atom. Its uncorrected formation energy is -0.532 eV per atom. The calculation puts the offset from the most stable computed form at 1.73 eV per formula unit.

Unit cell a=6.8920 b=6.8920 c=6.8920 alpha=90.00 beta=90.00 gamma=90.00
Atoms (fractional coordinates):
Zr (0.2500, 0.2500, 0.2500)
Zr (0.2500, 0.2500, 0.7500)
Zr (0.2500, 0.7500, 0.2500)
Zr (0.2500, 0.7500, 0.7500)
Zr (0.7500, 0.2500, 0.2500)
Zr (0.7500, 0.2500, 0.7500)
Zr (0.7500, 0.7500, 0.2500)
Zr (0.7500, 0.7500, 0.7500)
Sn (0.0000, 0.0000, 0.0000)
Sn (0.0000, 0.5000, 0.5000)
Sn (0.5000, 0.0000, 0.5000)
Sn (0.5000, 0.5000, 0.0000)
S (0.0000, 0.0000, 0.5000)
S (0.0000, 0.5000, 0.0000)
S (0.5000, 0.0000, 0.0000)
S (0.5000, 0.5000, 0.5000)

=====

[6]
Material: CuPd12Au6
Method: DFT, PBE-GGA
State: relaxed

Values from the calculation:
The formation energy from the elements comes out at -96 kJ/mol of formula units. Its space-group type is R-3. The crystal system is trigonal. For the total DFT energy (no corrections), the calculation gives -4.583 eV/atom. The calculation puts the offset from the most stable computed form at 0.00 eV per formula unit.

Unit cell a=7.5155 b=7.5155 c=7.5155 alpha=111.03 beta=111.03 gamma=111.03
Atoms (fractional coordinates):
Cu (0.0000, 0.0000, 0.0000)
Pd (0.1014, 0.7393, 0.1513)
Pd (0.1513, 0.1014, 0.7393)
Pd (0.2085, 0.4657, 0.3112)
Pd (0.2607, 0.8487, 0.8986)
Pd (0.3112, 0.2085, 0.4657)
Pd (0.4657, 0.3112, 0.2085)
Pd (0.5343, 0.6888, 0.7915)
Pd (0.6888, 0.7915, 0.5343)
Pd (0.7393, 0.1513, 0.1014)
Pd (0.7915, 0.5343, 0.6888)
Pd (0.8487, 0.8986, 0.2607)
Pd (0.8986, 0.2607, 0.8487)
Au (0.0581, 0.3716, 0.5830)
Au (0.3716, 0.5830, 0.0581)
Au (0.4170, 0.9419, 0.6284)
Au (0.5830, 0.0581, 0.3716)
Au (0.6284, 0.4170, 0.9419)
Au (0.9419, 0.6284, 0.4170)

=====

[7]
Material: In2IrPb
Method: DFT, PBE-GGA
State: relaxed

Values from the calculation:
The formation energy from the elements comes out at 158 kJ/mol of formula units. Its space-group type is C2/m. The crystal system is monoclinic. For the total DFT energy (no corrections), the calculation gives -4.102 eV/atom.

Unit cell a=6.2088 b=9.6470 c=3.4705 alpha=90.00 beta=118.40 gamma=90.00
Atoms (fractional coordinates):
In (0.2500, 0.2500, 0.0000)
In (0.2500, 0.7500, 0.0000)
In (0.7500, 0.2500, 0.0000)
In (0.7500, 0.7500, 0.0000)
Ir (0.0000, 0.0000, 0.5000)
Ir (0.5000, 0.5000, 0.5000)
Pb (0.0000, 0.5000, 0.5000)
Pb (0.5000, 0.0000, 0.5000)

=====

[8]
Material: CsCdHS2
Method: DFT, PBE-GGA
State: relaxed

Values from the calculation:
Its space-group type is P2/c. The crystal system is monoclinic. For the total DFT energy (no corrections), the calculation gives -3.334 eV/atom.

Unit cell a=7.3956 b=5.2631 c=7.0594 alpha=90.00 beta=107.27 gamma=90.00
Atoms (fractional coordinates):
Cs (0.0000, 0.2452, 0.2500)
Cs (0.0000, 0.7548, 0.7500)
Cd (0.5000, 0.0095, 0.7500)
Cd (0.5000, 0.9905, 0.2500)
H (0.5000, 0.5000, 0.0000)
H (0.5000, 0.5000, 0.5000)
S (0.3289, 0.2780, 0.9505)
S (0.3289, 0.7220, 0.4505)
S (0.6711, 0.2780, 0.5495)
S (0.6711, 0.7220, 0.0495)

=====

[9]
Material: CeNd3Pb4
Method: DFT, PBE-GGA
State: relaxed

Values from the calculation:
The formation energy from the elements comes out at -290 kJ/mol of formula units. Its space-group type is Pmmn. The crystal system is orthorhombic. For the total DFT energy (no corrections), the calculation gives -4.760 eV/atom. The calculation puts the offset from the most stable computed form at 0.86 eV per formula unit.

Unit cell a=6.4702 b=13.0000 c=6.4701 alpha=90.00 beta=90.00 gamma=90.00
Atoms (fractional coordinates):
Ce (0.2500, 0.2500, 0.2489)
Ce (0.7500, 0.7500, 0.7511)
Nd (0.2500, 0.0000, 0.7500)
Nd (0.2500, 0.5000, 0.7500)
Nd (0.2500, 0.7500, 0.2516)
Nd (0.7500, 0.0000, 0.2500)
Nd (0.7500, 0.2500, 0.7484)
Nd (0.7500, 0.5000, 0.2500)
Pb (0.2500, 0.0027, 0.2500)
Pb (0.2500, 0.2500, 0.7488)
Pb (0.2500, 0.4973, 0.2500)
Pb (0.2500, 0.7500, 0.7517)
Pb (0.7500, 0.2500, 0.2483)
Pb (0.7500, 0.5027, 0.7500)
Pb (0.7500, 0.7500, 0.2512)
Pb (0.7500, 0.9973, 0.7500)

=====

[10]
Material: ErTm4Bi3
Method: DFT, PBE-GGA
State: relaxed

Values from the calculation:
The formation energy from the elements comes out at -196 kJ/mol of formula units. Its space-group type is C2/m. The crystal system is monoclinic. For the total DFT energy (no corrections), the calculation gives -4.516 eV/atom.

Unit cell a=16.0049 b=3.4852 c=11.6394 alpha=90.00 beta=130.96 gamma=90.00
Atoms (fractional coordinates):
Er (0.0000, 0.0000, 0.0000)
Er (0.5000, 0.5000, 0.0000)
Tm (0.1257, 0.0000, 0.3738)
Tm (0.2368, 0.0000, 0.7494)
Tm (0.2632, 0.5000, 0.2506)
Tm (0.3743, 0.5000, 0.6262)
Tm (0.6257, 0.5000, 0.3738)
Tm (0.7368, 0.5000, 0.7494)
Tm (0.7632, 0.0000, 0.2506)
Tm (0.8743, 0.0000, 0.6262)
Bi (0.0000, 0.5000, 0.5000)
Bi (0.1358, 0.0000, 0.9139)
Bi (0.3642, 0.5000, 0.0861)
Bi (0.5000, 0.0000, 0.5000)
Bi (0.6358, 0.5000, 0.9139)
Bi (0.8642, 0.0000, 0.0861)

=====

[11]
Material: Sr2CaI
Method: DFT, PBE-GGA
State: relaxed

Values from the calculation:
Its space-group type is R-3m. The crystal system is trigonal. For the total DFT energy (no corrections), the calculation gives -2.294 eV/atom. Its uncorrected formation energy is -0.565 eV per atom. The calculation puts the offset from the most stable computed form at 0.00 eV per formula unit.

Unit cell a=4.2405 b=4.2405 c=34.7023 alpha=90.00 beta=90.00 gamma=120.00
Atoms (fractional coordinates):
Sr (0.0000, 0.0000, 0.2407)
Sr (0.0000, 0.0000, 0.7593)
Sr (0.3333, 0.6667, 0.4260)
Sr (0.3333, 0.6667, 0.9073)
Sr (0.6667, 0.3333, 0.0927)
Sr (0.6667, 0.3333, 0.5740)
Ca (0.0000, 0.0000, 0.0000)
Ca (0.3333, 0.6667, 0.6667)
Ca (0.6667, 0.3333, 0.3333)
I (0.0000, 0.0000, 0.5000)
I (0.3333, 0.6667, 0.1667)
I (0.6667, 0.3333, 0.8333)

=====

[12]
Material: LaTl2V
Method: DFT, PBE-GGA
State: relaxed

Values from the calculation:
The formation energy from the elements comes out at 160 kJ/mol of formula units. Its space-group type is I-42d. The crystal system is tetragonal. For the total DFT energy (no corrections), the calculation gives -4.279 eV/atom. The calculation puts the offset from the most stable computed form at 1.36 eV per formula unit.

Unit cell a=4.6588 b=4.6588 c=21.5392 alpha=90.00 beta=90.00 gamma=90.00
Atoms (fractional coordinates):
La (0.0000, 0.0000, 0.0000)
La (0.0000, 0.5000, 0.2500)
La (0.5000, 0.0000, 0.7500)
La (0.5000, 0.5000, 0.5000)
Tl (0.2109, 0.2500, 0.6250)
Tl (0.2500, 0.7109, 0.8750)
Tl (0.2500, 0.7891, 0.3750)
Tl (0.2891, 0.2500, 0.1250)
Tl (0.7109, 0.7500, 0.1250)
Tl (0.7500, 0.2109, 0.3750)
Tl (0.7500, 0.2891, 0.8750)
Tl (0.7891, 0.7500, 0.6250)
V (0.0000, 0.0000, 0.5000)
V (0.0000, 0.5000, 0.7500)
V (0.5000, 0.0000, 0.2500)
V (0.5000, 0.5000, 0.0000)

=====

> total DFT energy (no corrections) of number 10 (ErTm4Bi3)?

-4.516 eV/atom

=====

What did the third record say?
Material: Cs2AlAu
Method: DFT, PBE-GGA
State: relaxed

Values from the calculation:
The formation energy from the elements comes out at 122 kJ/mol of formula units. Its space-group type is Fm-3m. The crystal system is cubic. For the total DFT energy (no corrections), the calculation gives -1.865 eV/atom. The calculation puts the offset from the most stable computed form at 1.49 eV per formula unit.

Unit cell a=8.8159 b=8.8159 c=8.8159 alpha=90.00 beta=90.00 gamma=90.00
Atoms (fractional coordinates):
Cs (0.2500, 0.2500, 0.2500)
Cs (0.2500, 0.2500, 0.7500)
Cs (0.2500, 0.7500, 0.2500)
Cs (0.2500, 0.7500, 0.7500)
Cs (0.7500, 0.2500, 0.2500)
Cs (0.7500, 0.2500, 0.7500)
Cs (0.7500, 0.7500, 0.2500)
Cs (0.7500, 0.7500, 0.7500)
Al (0.0000, 0.0000, 0.0000)
Al (0.0000, 0.5000, 0.5000)
Al (0.5000, 0.0000, 0.5000)
Al (0.5000, 0.5000, 0.0000)
Au (0.0000, 0.0000, 0.5000)
Au (0.0000, 0.5000, 0.0000)
Au (0.5000, 0.0000, 0.0000)
Au (0.5000, 0.5000, 0.5000)

=====

> Number 1 is which compound?

TmCoB4